(1)
Density functional theory data (PBE-GGA) for a relaxed SrSb2Au5 crystal.

Output
volume = 23.8 Å³ per atom
energy relative to the elements, uncorrected = -0.318 eV per atom
E_tot = -3.607 eV per atom
size of the total moment = 0.00 μB per cell

Cell lengths 4.5022, 7.3335, 11.5355 Å; angles 90.00, 90.00, 90.00 degrees
Last column: nearest neighbours and their distance in Å.
Space group Immm (No. 71)
Unique sites:
1 Sr 0.0000 0.0000 0.0000  10 Au 3.46-3.67, 4 Sb 3.72
2 Sb 0.0000 0.5000 0.2434  7 Au 2.71-3.02
3 Au 0.0000 0.1971 0.3777  3 Sb 2.71-3.02, 4 Au 2.82-3.02
4 Au 0.0000 0.5000 0.0000  2 Sb 2.81, 8 Au 3.02


(2)
Density functional theory data (PBE-GGA) for a relaxed SrSbAu2 crystal.

Output
volume = 26.3 Å³ per atom
energy relative to the elements, uncorrected = -0.544 eV per atom
E_tot = -3.634 eV per atom
size of the total moment = 0.00 μB per cell

Cell lengths 4.8200, 4.8200, 15.6896 Å; angles 90.00, 90.00, 120.00 degrees
Last column: nearest neighbours and their distance in Å.
Space group R-3m (No. 166, hexagonal axes)
Unique sites:
1 Sr 0.0000 0.0000 0.0000  8 Au 3.30-3.45
2 Sb 0.0000 0.0000 0.5000  6 Au 2.91
3 Au 0.0000 0.0000 0.2201  3 Sb 2.91, 3 Au 3.25